(1)
Crystalline DyScAg2 at its relaxed geometry, computed with PBE.

```
DyScAg2
1.0
3.512 0.000 0.000
0.000 3.512 0.000
0.000 0.000 7.161
Sc Ag Dy
1 2 1
Direct
0.500 0.500 0.000
0.000 0.000 0.774
0.000 0.000 0.226
0.500 0.500 0.500
```

Summary:
- Electronic total energy: -4.447 eV per atom
- Formation energy from the elements: -0.288 eV per atom

(2)
Crystalline SiP3 at its relaxed geometry, computed with PBE.

```
SiP3
1.0
-0.419 -2.803 3.837
0.639 -2.876 -2.031
3.678 0.351 0.659
P Si
3 1
Direct
0.000 0.000 0.764
0.000 0.500 0.381
0.500 0.500 0.295
0.500 0.000 0.893
```

Summary:
- Electronic total energy: -5.359 eV per atom
- Formation energy from raw total energies: 0.054 eV per atom

(3)
Crystalline GePH6CCl3 at its relaxed geometry, computed with PBE.

```
GePH6CCl3
1.0
8.249 -0.050 0.122
-0.024 7.469 0.051
-7.241 0.449 14.408
Cl Ge C P H
12 4 4 4 24
Direct
0.699 0.193 0.190
0.310 0.821 0.821
0.331 0.670 0.330
0.687 0.348 0.686
0.336 0.668 0.107
0.648 0.338 0.901
0.735 0.158 0.422
0.306 0.853 0.595
0.143 0.024 0.172
0.814 0.966 0.834
0.800 0.563 0.328
0.190 0.455 0.678
0.584 0.334 0.284
0.429 0.667 0.731
0.419 0.856 0.233
0.565 0.164 0.768
0.874 0.604 0.113
0.825 0.822 0.624
0.228 0.295 0.474
0.211 0.237 0.984
0.751 0.799 0.051
0.817 0.711 0.525
0.190 0.190 0.369
0.176 0.311 0.870
0.017 0.638 0.150
0.821 0.558 0.161
0.856 0.500 0.063
0.752 0.935 0.109
0.815 0.873 0.989
0.569 0.757 0.996
0.954 0.792 0.683
0.811 0.967 0.608
0.713 0.775 0.638
0.964 0.762 0.508
0.825 0.524 0.539
0.654 0.750 0.447
0.372 0.289 0.522
0.184 0.436 0.457
0.150 0.227 0.506
0.285 0.279 0.326
0.249 0.010 0.386
0.005 0.191 0.306
0.356 0.222 0.028
0.155 0.337 0.013
0.143 0.108 0.980
0.261 0.476 0.872
0.246 0.184 0.832
0.991 0.333 0.810
```

Summary:
- Electronic total energy: -4.169 eV per atom

Magnetic moment values (in μB per formula unit) by entry order: 0.00, 0.00, 0.00.